(1)
NaSc2OsN after structural relaxation, computed with PBE.

The structure in POSCAR format:
```
NaSc2OsN
1.0
-2.162 -1.614 -4.084
2.312 -2.887 -0.083
-3.151 -2.600 2.696
Sc Na Os N
2 1 1 1
Direct
0.000 0.000 0.500 Sc
0.500 0.000 0.000 Sc
0.000 0.000 0.000 Na
0.500 0.500 0.500 Os
0.000 0.500 0.000 N
```

## Properties
**Crystal system**: tetragonal
**E_tot**: -5.3013 eV/atom



(2)
NaOsSeN2 after structural relaxation, computed with PBE.

The structure in POSCAR format:
```
NaOsSeN2
1.0
-0.458 -3.837 -0.804
4.363 -0.064 -2.180
1.704 -0.924 3.438
Na Os Se N
1 1 1 2
Direct
0.000 0.000 0.000 Na
0.500 0.500 0.500 Os
0.000 0.500 0.000 Se
0.000 0.000 0.500 N
0.500 0.000 0.000 N
```

## Properties
**Crystal system**: tetragonal
**E_tot**: -3.6356 eV/atom



(3)
NaOsSeN2 after structural relaxation, computed with PBE.

The structure in POSCAR format:
```
NaOsSeN2
1.0
3.836 0.000 0.000
0.000 3.836 0.000
0.000 0.000 5.440
Na Os Se N
1 1 1 2
Direct
0.500 0.500 0.500 Na
0.000 0.000 0.000 Os
0.000 0.000 0.500 Se
0.000 0.500 0.000 N
0.500 0.000 0.000 N
```

## Properties
**Crystal system**: tetragonal
**E_tot**: -6.2471 eV/atom



(4)
NaOsSe2N after structural relaxation, computed with PBE.

The structure in POSCAR format:
```
NaOsSe2N
1.0
-0.936 -4.212 2.948
5.102 -1.132 0.003
0.449 2.034 3.048
Na Os Se N
1 1 2 1
Direct
0.500 0.500 0.500 Na
0.000 0.000 0.000 Os
0.000 0.500 0.000 Se
0.500 0.000 0.000 Se
0.000 0.000 0.500 N
```

## Properties
**Crystal system**: tetragonal
**E_tot**: -5.5043 eV/atom